VASP calculation (PBE) on a relaxed structure of Cd2MoCl.

Cell: 7.5678 7.5678 4.2052 Å, 73.87 73.87 21.74°
Each line ends with the local moment (μB).
Atoms (fractional coordinates):
Mo 0.7500 0.7500 0.7500  0.57
Cd 0.0642 0.0642 0.9361  -0.01
Cl 0.2500 0.2500 0.2500  0.02
Cd 0.4358 0.4358 0.5639  -0.01

Summary:
Magnetic moment ... 0.16 μB per atom
Polymorph energy (0 for the lowest one) ... 217 meV per atom
Calculated volume ... 21.39 A^3/atom

---

VASP calculation (PBE) on a relaxed structure of KNa2BiPd.

Cell: 5.6231 5.6231 5.2715 Å, 90.00 90.00 90.00°
Atoms (fractional coordinates):
Na 0.0000 0.5000 0.0000
Bi 0.0000 0.0000 0.5000
K 0.5000 0.5000 0.5000
Pd 0.0000 0.0000 0.0000
Na 0.5000 0.0000 0.0000

Summary:
Energy of formation from the pure elements ... -0.229 eV/atom
Magnetic moment ... 0.00 μB per atom
Calculated volume ... 33.34 A^3/atom

---

VASP calculation (PBE) on a relaxed structure of YThSc3.

Cell: 4.9198 6.6833 16.6890 Å, 90.00 90.00 90.00°
Atoms (fractional coordinates):
Sc 0.2500 0.0929 0.1483
Sc 0.7500 0.9071 0.8517
Th 0.2500 0.1366 0.9493
Sc 0.7500 0.8599 0.4497
Sc 0.7500 0.4071 0.6483
Sc 0.7500 0.8406 0.2514
Sc 0.2500 0.5929 0.3517
Th 0.2500 0.6366 0.5507
Y 0.2500 0.5976 0.1528
Sc 0.7500 0.3599 0.0503
Th 0.7500 0.8634 0.0507
Y 0.2500 0.0976 0.3472
Sc 0.2500 0.6594 0.7514
Th 0.7500 0.3634 0.4493
Sc 0.2500 0.1594 0.7486
Sc 0.7500 0.3406 0.2486
Y 0.7500 0.9024 0.6528
Sc 0.2500 0.6401 0.9497
Sc 0.2500 0.1401 0.5503
Y 0.7500 0.4024 0.8472

Summary:
Energy of formation from the pure elements ... 0.041 eV/atom
Magnetic moment ... 0.00 μB per atom
Polymorph energy (0 for the lowest one) ... 0 meV per atom
Calculated volume ... 27.44 A^3/atom

---

VASP calculation (PBE) on a relaxed structure of Ba3BeSb.

Cell: 5.9631 5.9631 5.9631 Å, 90.00 90.00 90.00°
Atoms (fractional coordinates):
Ba 0.0000 0.0000 0.5000
Ba 0.5000 0.0000 0.0000
Be 0.0000 0.0000 0.0000
Ba 0.0000 0.5000 0.0000
Sb 0.5000 0.5000 0.5000

Summary:
Magnetic moment ... 0.00 μB per atom
Polymorph energy (0 for the lowest one) ... 0 meV per atom
Calculated volume ... 42.41 A^3/atom

---

VASP calculation (PBE) on a relaxed structure of Cs2U2PaS6.

Cell: 6.9608 6.9608 8.6574 Å, 97.70 97.70 119.97°
Each line ends with the local moment (μB).
Atoms (fractional coordinates):
Cs 0.8327 0.1673 0.0000  0.01
U 0.6657 0.3343 0.5000  2.55
Pa 0.0000 0.0000 0.5000  1.12
S 0.9413 0.6093 0.3208  -0.05
S 0.6093 0.9413 0.3208  -0.05
U 0.3343 0.6657 0.5000  2.55
S 0.3907 0.0587 0.6792  -0.05
S 0.2699 0.2699 0.3196  -0.05
S 0.0587 0.3907 0.6792  -0.05
Cs 0.1673 0.8327 0.0000  0.01
S 0.7301 0.7301 0.6804  -0.05

Summary:
VASP energy ... -6.788 eV/atom
Magnetic moment ... 0.64 μB per atom
Calculated volume ... 31.83 A^3/atom

---

VASP calculation (PBE) on a relaxed structure of BaNbI5O16.

Cell: 8.0943 8.0943 15.3167 Å, 69.75 69.75 56.26°
Atoms (fractional coordinates):
O 0.5651 0.9234 0.8429
O 0.7087 0.3137 0.3021
O 0.4059 0.8869 0.1680
O 0.6992 0.4209 0.8556
Nb 0.4163 0.4615 0.9109
O 0.5995 0.1840 0.1643
O 0.8869 0.4059 0.6680
O 0.6117 0.3412 0.4929
O 0.1099 0.8944 0.4997
I 0.0254 0.7185 0.5767
O 0.5137 0.1844 0.9978
O 0.7420 0.5907 0.9984
O 0.0120 0.8043 0.1693
I 0.2265 0.9199 0.2810
O 0.1892 0.0081 0.6504
O 0.3137 0.7087 0.8021
O 0.8944 0.1099 0.9997
Ba 0.2715 0.9809 0.0041
O 0.9234 0.5651 0.3429
I 0.9088 0.6449 0.8918
I 0.4124 0.7608 0.6702
O 0.4209 0.6992 0.3556
I 0.9199 0.2265 0.7810
O 0.8523 0.9010 0.4154
I 0.7608 0.4124 0.1702
O 0.4361 0.1638 0.4283
O 0.5907 0.7420 0.4984
Nb 0.4615 0.4163 0.4109
O 0.9010 0.8523 0.9154
O 0.8043 0.0120 0.6693
O 0.3412 0.6117 0.9929
O 0.2277 0.1157 0.3126
O 0.1844 0.5137 0.4978
O 0.5778 0.8459 0.6714
I 0.1147 0.5392 0.2325
I 0.7185 0.0254 0.0767
I 0.6449 0.9088 0.3918
O 0.1840 0.5995 0.6643
O 0.0081 0.1892 0.1504
O 0.1157 0.2277 0.8126
O 0.8459 0.5778 0.1714
O 0.1638 0.4361 0.9283
Ba 0.9809 0.2715 0.5041
O 0.5441 0.2979 0.7774
O 0.2979 0.5441 0.2774
I 0.5392 0.1147 0.7325

Summary:
VASP energy ... -5.225 eV/atom
Magnetic moment ... 0.00 μB per atom
Calculated volume ... 16.69 A^3/atom

---

- What is the calculated volume in the fifth record?
  31.83 A^3/atom

---

- Number 6 is which compound?
  BaNbI5O16